No. 1
VASP calculation (PBE-GGA) on NaTaF2 after structural relaxation.

a b c (Å): 8.5441 8.5441 8.5441
angles (deg): 19.64 19.64 19.64
Sites, in units of the cell vectors:
Na  0.0000  0.0000  0.0000
F  0.8964  0.8964  0.8964
F  0.1036  0.1036  0.1036
Ta  0.5000  0.5000  0.5000

Results
**Magnetization**: 0.0 μB per formula unit
**Uncorrected formation energy**: -1.38 eV/atom
**Density of states at the Fermi level**: 0.31 states/eV/atom
**ΔE to the lowest computed polymorph**: 0.0 meV per atom



No. 2
VASP calculation (PBE-GGA) on NaTaF after structural relaxation.

a b c (Å): 2.8822 2.8182 22.7959
angles (deg): 90.00 90.00 90.00
Sites, in units of the cell vectors:
Na  0.0000  0.0000  0.2084
Na  0.0000  0.5000  0.7084
Na  0.5000  0.0000  0.3364
Na  0.5000  0.5000  0.8364
F  0.5000  0.0000  0.6646
F  0.5000  0.5000  0.1646
F  0.0000  0.0000  0.7873
F  0.0000  0.5000  0.2873
Ta  0.0000  0.0000  0.9718
Ta  0.0000  0.5000  0.4718
Ta  0.5000  0.0000  0.5686
Ta  0.5000  0.5000  0.0686

Results
**Magnetization**: 0.0 μB per formula unit
**Uncorrected formation energy**: -1.36 eV/atom
**Density of states at the Fermi level**: 0.58 states/eV/atom
**ΔE to the lowest computed polymorph**: 19.4 meV per atom



No. 3
VASP calculation (PBE-GGA) on NaTaF after structural relaxation.

a b c (Å): 2.8941 22.8923 2.8568
angles (deg): 90.00 99.36 90.00
Sites, in units of the cell vectors:
Na  0.0000  0.2030  0.0000
Na  0.0000  0.7030  0.5000
Na  0.5000  0.5742  0.5000
Na  0.5000  0.0742  0.0000
F  0.5000  0.2509  0.5000
F  0.5000  0.7509  0.0000
F  0.0000  0.6267  0.0000
F  0.0000  0.1267  0.5000
Ta  0.0000  0.4409  0.0000
Ta  0.0000  0.9409  0.5000
Ta  0.5000  0.3460  0.5000
Ta  0.5000  0.8460  0.0000

Results
**Magnetization**: 0.0 μB per formula unit
**Uncorrected formation energy**: -1.36 eV/atom
**Density of states at the Fermi level**: 0.68 states/eV/atom
**ΔE to the lowest computed polymorph**: 17.3 meV per atom